This record from the Alexandria database describes a relaxed Zn2CuAsBr crystal. The functional is PBE-GGA.

Cell and atoms, written as CIF:
```
data_Zn2CuAsBr
_chemical_formula_sum 'Zn2 Cu1 As1 Br1'
_space_group_name_H-M_alt 'P 4/m m m'
_space_group_IT_number 123
_space_group_name_Hall '-P 4 2'
_cell_length_a 4.724
_cell_length_b 4.724
_cell_length_c 4.966
_cell_angle_alpha 90.00
_cell_angle_beta 90.00
_cell_angle_gamma 90.00
loop_
_atom_site_label
_atom_site_fract_x
_atom_site_fract_y
_atom_site_fract_z
Zn1 0.000 0.500 0.000
Cu1 0.000 0.000 0.000
As1 0.500 0.500 0.500
Br1 0.000 0.000 0.500
```

Values from the calculation:
The calculated total energy is -10.1 eV for the cell shown. For the formation energy without anion corrections, the calculation gives 578 meV/atom.

---

This record from the Alexandria database describes a relaxed Mn2Ir crystal. The functional is PBE-GGA.

Cell and atoms, written as CIF:
```
data_Mn2Ir
_chemical_formula_sum 'Mn8 Ir4'
_space_group_name_H-M_alt 'I 4/m c m'
_space_group_IT_number 140
_space_group_name_Hall '-I 4 2c'
_cell_length_a 5.642
_cell_length_b 5.642
_cell_length_c 5.036
_cell_angle_alpha 90.00
_cell_angle_beta 90.00
_cell_angle_gamma 90.00
loop_
_atom_site_label
_atom_site_fract_x
_atom_site_fract_y
_atom_site_fract_z
Mn1 0.127 0.373 0.000
Ir1 0.000 0.000 0.250
```

Values from the calculation:
The calculated total energy is -106.1 eV for the cell shown. For the energy of formation, the calculation gives 21.5 kJ per mole of atoms.

---

This record from the Alexandria database describes a relaxed CuRhBr2 crystal. The functional is PBE-GGA.

Cell and atoms, written as CIF:
```
data_CuRhBr2
_chemical_formula_sum 'Cu2 Rh2 Br4'
_space_group_name_H-M_alt 'I m m m'
_space_group_IT_number 71
_space_group_name_Hall '-I 2 2'
_cell_length_a 3.495
_cell_length_b 6.682
_cell_length_c 7.415
_cell_angle_alpha 90.00
_cell_angle_beta 90.00
_cell_angle_gamma 90.00
loop_
_atom_site_label
_atom_site_fract_x
_atom_site_fract_y
_atom_site_fract_z
Cu1 0.000 0.000 0.000
Rh1 0.000 0.000 0.500
Br1 0.000 0.500 0.250
```

Values from the calculation:
The calculated total energy is -27.0 eV for the cell shown. For the formation energy without anion corrections, the calculation gives 329 meV/atom. The excess energy over the best structure of this formula in the dataset is 0.3404 eV/atom.

---

This record from the Alexandria database describes a relaxed CeRe2O8 crystal. The functional is PBE-GGA.

Cell and atoms, written as CIF:
```
data_CeRe2O8
_chemical_formula_sum 'Ce2 Re4 O16'
_space_group_name_H-M_alt 'C 1 2/m 1'
_space_group_IT_number 12
_space_group_name_Hall '-C 2y'
_cell_length_a 11.041
_cell_length_b 6.171
_cell_length_c 6.025
_cell_angle_alpha 90.00
_cell_angle_beta 105.43
_cell_angle_gamma 90.00
loop_
_atom_site_label
_atom_site_fract_x
_atom_site_fract_y
_atom_site_fract_z
Ce1 0.000 0.000 0.000
Re1 0.196 0.000 0.681
O1 0.125 0.213 0.805
O2 0.141 0.500 0.220
O3 0.144 0.000 0.372
```

Values from the calculation:
The calculated total energy is -182.5 eV for the cell shown. For the formation energy without anion corrections, the calculation gives -1887 meV/atom.

---

This record from the Alexandria database describes a relaxed Hf3Mg2Zr2 crystal. The functional is PBE-GGA.

Cell and atoms, written as CIF:
```
data_Hf3Mg2Zr2
_chemical_formula_sum 'Hf6 Mg4 Zr4'
_space_group_name_H-M_alt 'C m m m'
_space_group_IT_number 65
_space_group_name_Hall '-C 2 2'
_cell_length_a 3.135
_cell_length_b 33.314
_cell_length_c 3.129
_cell_angle_alpha 90.00
_cell_angle_beta 90.00
_cell_angle_gamma 90.00
loop_
_atom_site_label
_atom_site_fract_x
_atom_site_fract_y
_atom_site_fract_z
Hf1 0.000 0.000 0.000
Hf2 0.000 0.432 0.500
Mg1 0.000 0.291 0.500
Zr1 0.000 0.135 0.000
```

Values from the calculation:
The calculated total energy is -99.7 eV for the cell shown. For the energy of formation, the calculation gives 4.0 kJ per mole of atoms.

---

This record from the Alexandria database describes a relaxed PmNdDy4Se8 crystal. The functional is PBE-GGA.

Cell and atoms, written as CIF:
```
data_PmNdDy4Se8
_chemical_formula_sum 'Pm3 Nd3 Dy12 Se24'
_space_group_name_H-M_alt 'R 3 m'
_space_group_IT_number 160
_space_group_name_Hall 'R 3 -2"'
_cell_length_a 8.4772
_cell_length_b 8.4772
_cell_length_c 20.9402
_cell_angle_alpha 90.00
_cell_angle_beta 90.00
_cell_angle_gamma 120.00
loop_
_atom_site_label
_atom_site_fract_x
_atom_site_fract_y
_atom_site_fract_z
Pm1 0.0000 0.0000 0.0000
Nd1 0.0000 0.0000 0.3744
Dy1 0.0000 0.0000 0.6266
Dy2 0.0020 0.5010 0.5011
Se1 0.0000 0.0000 0.2390
Se2 0.0000 0.0000 0.7585
Se3 0.0230 0.5115 0.7567
Se4 0.1733 0.3467 0.5793
```

Values from the calculation:
The calculated total energy is -239.6 eV for the cell shown. For the formation energy without anion corrections, the calculation gives -1718 meV/atom.

---

> Which of these has the lowest calculated total energy?

PmNdDy4Se8